Entry 1:
The following is a DFT calculation (PBE) of a relaxed MgTaNiSb crystal.

Results
The space group is F-43m, No. 216. As for the crystal system: cubic. The offset from the most stable computed form comes out at 0.0 meV per atom.

```
MgTaNiSb
1.0
6.530 0.000 0.000
0.000 6.530 0.000
0.000 0.000 6.530
Mg Ta Ni Sb
4 4 4 4
Direct
0.000 0.000 0.000
0.000 0.500 0.500
0.500 0.000 0.500
0.500 0.500 0.000
0.250 0.250 0.250
0.250 0.750 0.750
0.750 0.250 0.750
0.750 0.750 0.250
0.250 0.250 0.750
0.250 0.750 0.250
0.750 0.250 0.250
0.750 0.750 0.750
0.000 0.000 0.500
0.000 0.500 0.000
0.500 0.000 0.000
0.500 0.500 0.500
```

---

Entry 2:
The following is a DFT calculation (PBE) of a relaxed MgNiSbW crystal.

Results
The space group is F-43m, No. 216. As for the crystal system: cubic.

```
MgNiSbW
1.0
6.461 0.000 0.000
0.000 6.461 0.000
0.000 0.000 6.461
Mg Ni Sb W
4 4 4 4
Direct
0.000 0.000 0.000
0.000 0.500 0.500
0.500 0.000 0.500
0.500 0.500 0.000
0.000 0.000 0.500
0.000 0.500 0.000
0.500 0.000 0.000
0.500 0.500 0.500
0.250 0.250 0.250
0.250 0.750 0.750
0.750 0.250 0.750
0.750 0.750 0.250
0.250 0.250 0.750
0.250 0.750 0.250
0.750 0.250 0.250
0.750 0.750 0.750
```

---

Magnetization, respectively: 0.334; 1.531 μB/f.u..
Energy, respectively: -0.4004; -0.3895 Ry per atom.
Volume, respectively: 278.42; 269.74 Å³ per cell.